A geometry-optimized UVCoTc structure, computed with GGA-PBE.

Summary:
symmetry = F-43m (216)
DOS at the Fermi energy = 7.59 states/eV per cell
magnetization = 0.6 μB per formula unit
DFT formation energy = 57 meV/atom

abc: 4.4324 4.4324 4.4324
angles: 60.00 60.00 60.00
Last column: nearest neighbours and their distance in Å.
Fractional coordinates of all 4 atoms:
U (0.0000, 0.0000, 0.0000)  4 Co 2.71, 4 Tc 2.71
V (0.5000, 0.5000, 0.5000)  4 Tc 2.71, 4 Co 2.71
Co (0.2500, 0.2500, 0.2500)  4 U 2.71, 4 V 2.71
Tc (0.7500, 0.7500, 0.7500)  4 U 2.71, 4 V 2.71

---

A geometry-optimized YCoIr2 structure, computed with GGA-PBE.

Summary:
symmetry = I-42d (122)
DOS at the Fermi energy = 6.30 states/eV per cell
magnetization = 1.0 μB per formula unit
E above lowest polymorph = 272 meV per atom
DFT formation energy = 87 meV/atom

abc: 8.7356 8.7356 8.7356
angles: 149.82 149.82 43.21
Last column: nearest neighbours and their distance in Å.
Fractional coordinates of all 8 atoms:
Y (0.0000, 0.0000, 0.0000)  4 Ir 2.95, 4 Co 3.22
Y (0.7500, 0.2500, 0.5000)  4 Ir 2.95, 4 Co 3.22
Co (0.2500, 0.7500, 0.5000)  4 Ir 2.37
Co (0.5000, 0.5000, 0.0000)  4 Ir 2.37
Ir (0.2748, 0.6250, 0.1498)  2 Co 2.37, 2 Ir 2.45
Ir (0.3750, 0.5248, 0.6498)  2 Co 2.37, 2 Ir 2.45
Ir (0.4752, 0.1250, 0.8502)  2 Co 2.37, 2 Ir 2.45
Ir (0.8750, 0.7252, 0.3502)  2 Co 2.37, 2 Ir 2.45